An optimized crystal structure of Mg2AsIr, computed with PBE-GGA.

abc: 4.532 4.532 4.532
angles: 60.00 60.00 60.00
Sites, in units of the cell vectors:
Mg 0.000 0.000 0.000
Mg 0.250 0.250 0.250
As 0.750 0.750 0.750
Ir 0.500 0.500 0.500

Output
Raw total energy = -4.348 eV per atom
Crystal system = cubic
Total moment = 0.00 Bohr magnetons per cell
Formation enthalpy at 0 K = -16.7 kJ per mole of atoms